# Rb2Sn3S8, relaxed, DFT GGA-PBE
# Total moment   1.949 μB per formula unit
# Fermi-level density of states   0.2023 states/eV per atom
# VASP energy   -4.07 eV per atom
data_Rb2Sn3S8
_space_group_name_H-M_alt 'C 1 2/m 1'
_space_group_IT_number 12
_cell_length_a 17.104
_cell_length_b 7.329
_cell_length_c 6.733
_cell_angle_alpha 90.00
_cell_angle_beta 108.73
_cell_angle_gamma 90.00
loop_
_space_group_symop_operation_xyz
'x,y,z'
'-x,-y,-z'
'-x,y,-z'
'x,-y,z'
'x+1/2,y+1/2,z'
'-x+1/2,-y+1/2,-z'
'-x+1/2,y+1/2,-z'
'x+1/2,-y+1/2,z'
loop_
_atom_site_label
_atom_site_type_symbol
_atom_site_fract_x
_atom_site_fract_y
_atom_site_fract_z
Rb1 Rb 0.233 0.000 0.202
Sn1 Sn 0.000 0.246 0.500
Sn2 Sn 0.000 0.500 0.000
S1 S 0.089 0.500 0.395
S2 S 0.092 0.000 0.437
S3 S 0.097 0.292 0.887